1.
PBE-GGA Ac2Cd3In4Pd, optimized geometry; electronic total energy = -3.092 eV/atom; formation enthalpy at 0 K = -8.8 kcal/mol of atoms; symmetry = No. 115; magnetization = 0.000 μB per atom; crystal system = tetragonal
1.0
-3.872 0.089 2.813
-1.044 -4.489 -1.295
6.429 -4.086 8.979
Ac In Cd Pd
2 4 3 1
direct
0.000 0.500 0.736
0.500 0.000 0.264
0.000 0.000 0.000
0.500 0.000 0.622
0.000 0.500 0.378
0.500 0.500 0.000
0.500 0.000 0.857
0.000 0.500 0.143
0.000 0.000 0.500
0.500 0.500 0.500


2.
PBE-GGA Ac3CdIn2Pd9, optimized geometry; electronic total energy = -4.793 eV/atom; formation enthalpy at 0 K = -9.9 kcal/mol of atoms; symmetry = No. 164; magnetization = 0.000 μB per atom; crystal system = trigonal
1.0
-0.761 -5.259 4.220
-1.477 -0.694 -6.586
9.339 -2.796 -1.800
Cd Pd Ac In
1 9 3 2
direct
0.000 0.000 0.500
0.737 0.869 0.272
0.131 0.263 0.272
0.869 0.131 0.728
0.000 0.500 0.000
0.869 0.737 0.728
0.131 0.869 0.272
0.500 0.500 0.000
0.263 0.131 0.728
0.500 0.000 0.000
0.333 0.667 0.743
0.667 0.333 0.257
0.000 0.000 0.000
0.333 0.667 0.182
0.667 0.333 0.818


3.
PBE-GGA AcCdIn2Pd4, optimized geometry; electronic total energy = -4.488 eV/atom; formation enthalpy at 0 K = -13.4 kcal/mol of atoms; symmetry = No. 166; magnetization = 0.000 μB per atom; crystal system = trigonal
1.0
4.595 0.000 0.000
2.298 3.979 0.000
2.298 1.326 9.209
Ac Pd Cd In
1 4 1 2
direct
0.000 0.000 0.000
0.400 0.400 0.799
0.600 0.600 0.201
0.870 0.870 0.391
0.130 0.130 0.609
0.500 0.500 0.500
0.237 0.237 0.288
0.763 0.763 0.712


4.
PBE-GGA AcCdInPd3, optimized geometry; electronic total energy = -4.338 eV/atom; formation enthalpy at 0 K = -10.3 kcal/mol of atoms; symmetry = No. 63; magnetization = 0.000 μB per atom; crystal system = orthorhombic
1.0
-1.586 -1.598 6.820
1.640 -5.765 -0.970
5.209 4.306 2.220
Ac In Pd Cd
2 2 6 2
direct
0.250 0.664 0.327
0.750 0.336 0.673
0.750 0.636 0.272
0.250 0.364 0.728
0.000 0.730 0.000
0.250 0.149 0.297
0.750 0.851 0.703
0.500 0.730 0.000
0.500 0.270 0.000
0.000 0.270 0.000
0.750 0.085 0.170
0.250 0.915 0.830


5.
PBE-GGA AcCd2InPd, optimized geometry; electronic total energy = -3.238 eV/atom; formation enthalpy at 0 K = -10.7 kcal/mol of atoms; symmetry = No. 44; magnetization = 0.000 μB per atom; crystal system = orthorhombic
1.0
-1.275 -3.669 -2.097
0.555 -2.306 3.699
-5.924 4.200 0.897
Pd In Cd Ac
1 1 2 1
direct
0.840 0.840 0.679
0.203 0.703 0.406
0.047 0.047 0.094
0.697 0.197 0.395
0.425 0.425 0.851


6.
PBE-GGA AcCd2InPd4, optimized geometry; electronic total energy = -4.205 eV/atom; formation enthalpy at 0 K = -12.1 kcal/mol of atoms; symmetry = No. 166; magnetization = 0.000 μB per atom; crystal system = trigonal
1.0
4.639 0.000 0.000
2.320 4.018 0.000
2.320 1.339 8.951
In Pd Ac Cd
1 4 1 2
direct
0.500 0.500 0.500
0.601 0.601 0.198
0.129 0.129 0.612
0.399 0.399 0.802
0.871 0.871 0.388
0.000 0.000 0.000
0.760 0.760 0.719
0.240 0.240 0.281